# Rb2FeHgF6 PBE with a Hubbard U relaxed
data_Rb2FeHgF6
_chemical_formula_sum 'Rb8 Fe4 Hg4 F24'
_space_group_name_H-M_alt 'F m -3 m'
_space_group_IT_number 225
_space_group_name_Hall '-F 4 2 3'
_cell_length_a 9.044
_cell_length_b 9.044
_cell_length_c 9.044
_cell_angle_alpha 90.00
_cell_angle_beta 90.00
_cell_angle_gamma 90.00
loop_
_atom_site_label
_atom_site_fract_x
_atom_site_fract_y
_atom_site_fract_z
_atom_site_occupancy
Rb1 0.250 0.250 0.250 1
Fe1 0.000 0.000 0.000 1
Hg1 0.000 0.000 0.500 1
F1 0.000 0.000 0.217 1
# E ... -4.2208 eV per atom